# 1
A geometry-optimized La12SmPb3 structure, computed with PBE.

Unit cell a=5.096 b=5.096 c=20.655 alpha=90.00 beta=90.00 gamma=90.00
Space group P4/mmm (No. 123)
Unique sites:
La: 0.000 0.000 0.000 [1 per cell]
La: 0.000 0.000 0.245 [2 per cell]
La: 0.000 0.000 0.500 [1 per cell]
La: 0.000 0.500 0.122 [4 per cell]
La: 0.000 0.500 0.370 [4 per cell]
Sm: 0.500 0.500 0.500 [1 per cell]
Pb: 0.500 0.500 0.000 [1 per cell]
Pb: 0.500 0.500 0.246 [2 per cell]

## Properties
- VASP energy (eV/atom) = -4.96
- ΔH_f (0 K) (eV per atom) = -0.2774
- crystal system = tetragonal
- total magnetization (μB/f.u.) = 0.00

# 2
A geometry-optimized YIrRu2 structure, computed with PBE.

Unit cell a=9.384 b=2.948 c=5.061 alpha=90.00 beta=101.97 gamma=90.00
Space group C2/m (No. 12)
Unique sites:
Y: 0.000 0.000 0.000 [2 per cell]
Ir: 0.000 0.500 0.500 [2 per cell]
Ru: 0.236 0.000 0.701 [4 per cell]

## Properties
- ΔE to the lowest computed polymorph (eV per atom) = 0.008
- VASP energy (eV/atom) = -8.47
- ΔH_f (0 K) (eV per atom) = -0.0047
- crystal system = monoclinic
- total magnetization (μB/f.u.) = 0.00

# 3
A geometry-optimized K3ThSb2Se6 structure, computed with PBE.

Unit cell a=7.483 b=13.402 c=7.936 alpha=90.00 beta=108.58 gamma=90.00
Space group C2/m (No. 12)
Unique sites:
K: 0.000 0.000 0.000 [2 per cell]
K: 0.000 0.328 0.000 [4 per cell]
Th: 0.000 0.500 0.500 [2 per cell]
Sb: 0.000 0.164 0.500 [4 per cell]
Se: 0.235 0.000 0.704 [4 per cell]
Se: 0.238 0.338 0.705 [8 per cell]

## Properties
- VASP energy (eV/atom) = -4.31
- crystal system = monoclinic
- total magnetization (μB/f.u.) = 0.00
- formation energy without anion corrections (eV/atom) = -0.988

# 4
A geometry-optimized TbBeF6 structure, computed with PBE.

Unit cell a=5.713 b=6.583 c=4.378 alpha=90.00 beta=102.00 gamma=90.00
Space group C2/m (No. 12)
Unique sites:
Tb: 0.000 0.000 0.000 [2 per cell]
Be: 0.000 0.500 0.500 [2 per cell]
F: 0.106 0.320 0.783 [8 per cell]
F: 0.216 0.000 0.579 [4 per cell]

## Properties
- VASP energy (eV/atom) = -5.49
- crystal system = monoclinic
- total magnetization (μB/f.u.) = 0.93
- formation energy without anion corrections (eV/atom) = -3.038

# 5
A geometry-optimized PdPt2Au structure, computed with PBE.

Unit cell a=2.8153 b=2.8153 c=28.1984 alpha=90.00 beta=90.00 gamma=120.00
Space group R-3m (No. 166, hexagonal axes)
Unique sites:
Pd: 0.0000 0.0000 0.0000 [3 per cell]
Pt: 0.0000 0.0000 0.2523 [6 per cell]
Au: 0.0000 0.0000 0.5000 [3 per cell]

## Properties
- ΔE to the lowest computed polymorph (eV per atom) = 0.000
- VASP energy (eV/atom) = -5.13
- ΔH_f (0 K) (eV per atom) = 0.0107
- crystal system = trigonal
- total magnetization (μB/f.u.) = 0.00

# 6
A geometry-optimized CaNi2W structure, computed with PBE.

Unit cell a=2.708 b=4.567 c=10.085 alpha=90.00 beta=90.00 gamma=90.00
Space group Imm2 (No. 44)
Unique sites:
Ca: 0.000 0.000 0.000 [2 per cell]
Ni: 0.000 0.000 0.487 [2 per cell]
Ni: 0.000 0.500 0.774 [2 per cell]
W: 0.000 0.500 0.208 [2 per cell]

## Properties
- ΔE to the lowest computed polymorph (eV per atom) = 0.203
- VASP energy (eV/atom) = -6.27
- ΔH_f (0 K) (eV per atom) = 0.3591
- crystal system = orthorhombic
- total magnetization (μB/f.u.) = 0.00

# 7
A geometry-optimized B2C structure, computed with PBE.

Unit cell a=4.039 b=11.547 c=3.737 alpha=90.00 beta=92.88 gamma=90.00
Space group C2 (No. 5)
Unique sites:
B: 0.000 0.000 0.000 [2 per cell]
B: 0.000 0.128 0.500 [2 per cell]
B: 0.000 0.314 0.000 [2 per cell]
B: 0.000 0.486 0.500 [2 per cell]
B: 0.178 0.740 0.806 [4 per cell]
B: 0.178 0.873 0.196 [4 per cell]
C: 0.000 0.636 0.000 [2 per cell]
C: 0.000 0.810 0.500 [2 per cell]
C: 0.236 0.564 0.249 [4 per cell]

## Properties
- ΔE to the lowest computed polymorph (eV per atom) = 0.248
- VASP energy (eV/atom) = -7.09
- ΔH_f (0 K) (eV per atom) = 0.4338
- crystal system = monoclinic
- total magnetization (μB/f.u.) = 0.00

# 8
A geometry-optimized K7Rb6 structure, computed with PBE.

Unit cell a=8.7713 b=8.7713 c=47.9044 alpha=90.00 beta=90.00 gamma=120.00
Space group R-3m (No. 166, hexagonal axes)
Unique sites:
K: 0.0000 0.0000 0.0000 [3 per cell]
K: 0.0031 0.5016 0.4103 [18 per cell]
Rb: 0.0000 0.0000 0.1665 [6 per cell]
Rb: 0.0000 0.0000 0.3492 [6 per cell]
Rb: 0.0000 0.0000 0.4531 [6 per cell]

## Properties
- VASP energy (eV/atom) = -1.03
- ΔH_f (0 K) (eV per atom) = 0.0079
- crystal system = trigonal
- total magnetization (μB/f.u.) = 0.00

- Which of these has the highest VASP energy?
  K7Rb6

- Look up the VASP energy of the third one.
  -4.31 eV/atom

- VASP energy of number 4 (TbBeF6)?
  -5.49 eV/atom